# 1
# PBE-GGA DyHo4Hg2, relaxed
data_DyHo4Hg2
_space_group_name_H-M_alt 'R -3 m'
_space_group_IT_number 166
_space_group_name_Hall '-R 3 2"'
_cell_length_a 5.0421
_cell_length_b 5.0421
_cell_length_c 30.2120
_cell_angle_alpha 90.00
_cell_angle_beta 90.00
_cell_angle_gamma 120.00
loop_
_atom_site_label
_atom_site_type_symbol
_atom_site_fract_x
_atom_site_fract_y
_atom_site_fract_z
Dy1 Dy 0.0000 0.0000 0.0000
Ho1 Ho 0.0000 0.0000 0.2032
Ho2 Ho 0.0000 0.0000 0.3933
Hg1 Hg 0.0000 0.0000 0.1009
# - volume (Å³/f.u.) = 222

=====

# 2
# PBE-GGA Dy4HoHg5, relaxed
data_Dy4HoHg5
_space_group_name_H-M_alt 'P 4/m m m'
_space_group_IT_number 123
_space_group_name_Hall '-P 4 2'
_cell_length_a 3.717
_cell_length_b 3.717
_cell_length_c 18.627
_cell_angle_alpha 90.00
_cell_angle_beta 90.00
_cell_angle_gamma 90.00
loop_
_atom_site_label
_atom_site_type_symbol
_atom_site_fract_x
_atom_site_fract_y
_atom_site_fract_z
Dy1 Dy 0.000 0.000 0.100
Dy2 Dy 0.000 0.000 0.301
Ho1 Ho 0.000 0.000 0.500
Hg1 Hg 0.500 0.500 0.000
Hg2 Hg 0.500 0.500 0.200
Hg3 Hg 0.500 0.500 0.401
# - volume (Å³/f.u.) = 257

=====

# 3
# PBE-GGA Dy2HoHg2, relaxed
data_Dy2HoHg2
_space_group_name_H-M_alt 'P 1 21/m 1'
_space_group_IT_number 11
_cell_length_a 3.744
_cell_length_b 5.277
_cell_length_c 13.695
_cell_angle_alpha 90.00
_cell_angle_beta 97.90
_cell_angle_gamma 90.00
loop_
_space_group_symop_operation_xyz
'x,y,z'
'-x,-y,-z'
'-x,y+1/2,-z'
'x,-y+1/2,z'
loop_
_atom_site_label
_atom_site_type_symbol
_atom_site_fract_x
_atom_site_fract_y
_atom_site_fract_z
Dy1 Dy 0.047 0.250 0.095
Dy2 Dy 0.235 0.250 0.471
Ho1 Ho 0.146 0.750 0.293
Hg1 Hg 0.356 0.750 0.712
Hg2 Hg 0.452 0.250 0.903
# - volume (Å³/f.u.) = 134

=====

# 4
# PBE-GGA Dy2HoHg4, relaxed
data_Dy2HoHg4
_space_group_name_H-M_alt 'I 4/m m m'
_space_group_IT_number 139
_space_group_name_Hall '-I 4 2'
_cell_length_a 5.595
_cell_length_b 5.595
_cell_length_c 15.304
_cell_angle_alpha 90.00
_cell_angle_beta 90.00
_cell_angle_gamma 90.00
loop_
_atom_site_label
_atom_site_type_symbol
_atom_site_fract_x
_atom_site_fract_y
_atom_site_fract_z
Dy1 Dy 0.000 0.000 0.103
Ho1 Ho 0.000 0.000 0.500
Hg1 Hg 0.000 0.000 0.302
Hg2 Hg 0.000 0.500 0.000
# - polymorph energy (0 for the lowest one) (eV per atom) = 0.372
# - volume (Å³/f.u.) = 240

=====

Number 1: energy of formation from the pure elements 32 meV/atom, raw total energy -23.29 eV/f.u.. Number 2: energy of formation from the pure elements -482 meV/atom, raw total energy -29.31 eV/f.u.. Number 3: energy of formation from the pure elements -385 meV/atom, raw total energy -16.31 eV/f.u.. Number 4: energy of formation from the pure elements 33 meV/atom, raw total energy -14.76 eV/f.u..